# GGA-PBE As2RuPt, relaxed
data_As2RuPt
_symmetry_space_group_name_H-M 'R 3 m'
_symmetry_Int_Tables_number 160
_symmetry_space_group_name_Hall 'R 3 -2"'
_cell_length_a 3.0083
_cell_length_b 3.0083
_cell_length_c 28.7700
_cell_angle_alpha 90.00
_cell_angle_beta 90.00
_cell_angle_gamma 120.00
loop_
_atom_site_label
_atom_site_type_symbol
_atom_site_fract_x
_atom_site_fract_y
_atom_site_fract_z
As1 As 0.0000 0.0000 0.0000
As2 As 0.0000 0.0000 0.2049
Ru1 Ru 0.0000 0.0000 0.7268
Pt1 Pt 0.0000 0.0000 0.4734
# density = 9.9 g/cm³
# ΔE_f = 2.1 kJ per mole of atoms